## Ac3Ga5F12 (PBE)

Data for crystalline Ac3Ga5F12 at its relaxed geometry.

Unit cell a=12.7349 b=12.7349 c=12.7349 alpha=109.47 beta=109.47 gamma=109.47
Last column: nearest neighbours and their distance in Å.
Sites, in units of the cell vectors:
Ac1 0.1250 0.2500 0.3750  8 F 2.60-2.61
Ac2 0.1250 0.3750 0.7500  8 F 2.60-2.61
Ac3 0.2500 0.3750 0.1250  8 F 2.60-2.61
Ac4 0.2500 0.8750 0.6250  8 F 2.60-2.61
Ac5 0.3750 0.1250 0.2500  8 F 2.60-2.61
Ac6 0.3750 0.7500 0.1250  8 F 2.60-2.61
Ac7 0.6250 0.2500 0.8750  8 F 2.60-2.61
Ac8 0.6250 0.8750 0.7500  8 F 2.60-2.61
Ac9 0.7500 0.1250 0.3750  8 F 2.60-2.61
Ac10 0.7500 0.6250 0.8750  8 F 2.60-2.61
Ac11 0.8750 0.6250 0.2500  8 F 2.60-2.61
Ac12 0.8750 0.7500 0.6250  8 F 2.60-2.61
Ga1 0.0000 0.0000 0.0000  6 F 2.57
Ga2 0.0000 0.0000 0.5000  6 F 2.57
Ga3 0.0000 0.5000 0.0000  6 F 2.57
Ga4 0.0000 0.5000 0.5000  6 F 2.57
Ga5 0.1250 0.7500 0.8750  4 F 2.49
Ga6 0.1250 0.8750 0.2500  4 F 2.49
Ga7 0.2500 0.1250 0.8750  4 F 2.49
Ga8 0.2500 0.6250 0.3750  4 F 2.49
Ga9 0.3750 0.2500 0.6250  4 F 2.49
Ga10 0.3750 0.6250 0.7500  4 F 2.49
Ga11 0.5000 0.0000 0.0000  6 F 2.57
Ga12 0.5000 0.0000 0.5000  6 F 2.57
Ga13 0.5000 0.5000 0.0000  6 F 2.57
Ga14 0.5000 0.5000 0.5000  6 F 2.57
Ga15 0.6250 0.3750 0.2500  4 F 2.49
Ga16 0.6250 0.7500 0.3750  4 F 2.49
Ga17 0.7500 0.3750 0.6250  4 F 2.49
Ga18 0.7500 0.8750 0.1250  4 F 2.49
Ga19 0.8750 0.1250 0.7500  4 F 2.49
Ga20 0.8750 0.2500 0.1250  4 F 2.49
F1 0.0705 0.2332 0.1515  2 Ga 2.49-2.57, 1 F 2.50, 2 Ac 2.60-2.61
F2 0.0705 0.3373 0.9191  2 Ga 2.49-2.57, 1 F 2.50, 2 Ac 2.60-2.61
F3 0.0809 0.6515 0.4183  2 Ga 2.49-2.57, 1 F 2.50, 2 Ac 2.60-2.61
F4 0.0809 0.9295 0.6627  2 Ga 2.49-2.57, 1 F 2.50, 2 Ac 2.60-2.61
F5 0.0817 0.7332 0.6627  2 Ga 2.49-2.57, 1 F 2.50, 2 Ac 2.60-2.61
F6 0.0817 0.8485 0.4191  2 Ga 2.49-2.57, 1 F 2.50, 2 Ac 2.60-2.61
F7 0.1515 0.0705 0.2332  2 Ga 2.49-2.57, 1 F 2.50, 2 Ac 2.60-2.61
F8 0.1515 0.5809 0.9183  2 Ga 2.49-2.57, 1 F 2.50, 2 Ac 2.60-2.61
F9 0.1627 0.2332 0.5817  2 Ga 2.49-2.57, 1 F 2.50, 2 Ac 2.60-2.61
F10 0.1627 0.4295 0.5809  2 Ga 2.49-2.57, 1 F 2.50, 2 Ac 2.60-2.61
F11 0.2332 0.1515 0.0705  2 Ga 2.49-2.57, 1 F 2.50, 2 Ac 2.60-2.61
F12 0.2332 0.5817 0.1627  2 Ga 2.49-2.57, 1 F 2.50, 2 Ac 2.60-2.61
F13 0.2668 0.3373 0.9183  2 Ga 2.49-2.57, 1 F 2.50, 2 Ac 2.60-2.61
F14 0.2668 0.4295 0.3485  2 Ga 2.49-2.57, 1 F 2.50, 2 Ac 2.60-2.61
F15 0.3373 0.9183 0.2668  2 Ga 2.49-2.57, 1 F 2.50, 2 Ac 2.60-2.61
F16 0.3373 0.9191 0.0705  2 Ga 2.49-2.57, 1 F 2.50, 2 Ac 2.60-2.61
F17 0.3485 0.2668 0.4295  2 Ga 2.49-2.57, 1 F 2.50, 2 Ac 2.60-2.61
F18 0.3485 0.5817 0.9191  2 Ga 2.49-2.57, 1 F 2.50, 2 Ac 2.60-2.61
F19 0.4183 0.0809 0.6515  2 Ga 2.49-2.57, 1 F 2.50, 2 Ac 2.60-2.61
F20 0.4183 0.8373 0.7668  2 Ga 2.49-2.57, 1 F 2.50, 2 Ac 2.60-2.61
F21 0.4191 0.0817 0.8485  2 Ga 2.49-2.57, 1 F 2.50, 2 Ac 2.60-2.61
F22 0.4191 0.8373 0.5705  2 Ga 2.49-2.57, 1 F 2.50, 2 Ac 2.60-2.61
F23 0.4295 0.3485 0.2668  2 Ga 2.49-2.57, 1 F 2.50, 2 Ac 2.60-2.61
F24 0.4295 0.5809 0.1627  2 Ga 2.49-2.57, 1 F 2.50, 2 Ac 2.60-2.61
F25 0.5705 0.4191 0.8373  2 Ga 2.49-2.57, 1 F 2.50, 2 Ac 2.60-2.61
F26 0.5705 0.6515 0.7332  2 Ga 2.49-2.57, 1 F 2.50, 2 Ac 2.60-2.61
F27 0.5809 0.1627 0.4295  2 Ga 2.49-2.57, 1 F 2.50, 2 Ac 2.60-2.61
F28 0.5809 0.9183 0.1515  2 Ga 2.49-2.57, 1 F 2.50, 2 Ac 2.60-2.61
F29 0.5817 0.1627 0.2332  2 Ga 2.49-2.57, 1 F 2.50, 2 Ac 2.60-2.61
F30 0.5817 0.9191 0.3485  2 Ga 2.49-2.57, 1 F 2.50, 2 Ac 2.60-2.61
F31 0.6515 0.4183 0.0809  2 Ga 2.49-2.57, 1 F 2.50, 2 Ac 2.60-2.61
F32 0.6515 0.7332 0.5705  2 Ga 2.49-2.57, 1 F 2.50, 2 Ac 2.60-2.61
F33 0.6627 0.0809 0.9295  2 Ga 2.49-2.57, 1 F 2.50, 2 Ac 2.60-2.61
F34 0.6627 0.0817 0.7332  2 Ga 2.49-2.57, 1 F 2.50, 2 Ac 2.60-2.61
F35 0.7332 0.5705 0.6515  2 Ga 2.49-2.57, 1 F 2.50, 2 Ac 2.60-2.61
F36 0.7332 0.6627 0.0817  2 Ga 2.49-2.57, 1 F 2.50, 2 Ac 2.60-2.61
F37 0.7668 0.4183 0.8373  2 Ga 2.49-2.57, 1 F 2.50, 2 Ac 2.60-2.61
F38 0.7668 0.8485 0.9295  2 Ga 2.49-2.57, 1 F 2.50, 2 Ac 2.60-2.61
F39 0.8373 0.5705 0.4191  2 Ga 2.49-2.57, 1 F 2.50, 2 Ac 2.60-2.61
F40 0.8373 0.7668 0.4183  2 Ga 2.49-2.57, 1 F 2.50, 2 Ac 2.60-2.61
F41 0.8485 0.4191 0.0817  2 Ga 2.49-2.57, 1 F 2.50, 2 Ac 2.60-2.61
F42 0.8485 0.9295 0.7668  2 Ga 2.49-2.57, 1 F 2.50, 2 Ac 2.60-2.61
F43 0.9183 0.1515 0.5809  2 Ga 2.49-2.57, 1 F 2.50, 2 Ac 2.60-2.61
F44 0.9183 0.2668 0.3373  2 Ga 2.49-2.57, 1 F 2.50, 2 Ac 2.60-2.61
F45 0.9191 0.0705 0.3373  2 Ga 2.49-2.57, 1 F 2.50, 2 Ac 2.60-2.61
F46 0.9191 0.3485 0.5817  2 Ga 2.49-2.57, 1 F 2.50, 2 Ac 2.60-2.61
F47 0.9295 0.6627 0.0809  2 Ga 2.49-2.57, 1 F 2.50, 2 Ac 2.60-2.61
F48 0.9295 0.7668 0.8485  2 Ga 2.49-2.57, 1 F 2.50, 2 Ac 2.60-2.61

Output
Space group: Ia-3d, No. 230
Calculated volume: 1590 Å³/cell
Final energy: -5.116 eV/atom
Size of the total moment: 6.53 Bohr magnetons per cell



## Ac2GaF (PBE)

Data for crystalline Ac2GaF at its relaxed geometry.

Unit cell a=7.9186 b=7.9186 c=7.9186 alpha=30.51 beta=30.51 gamma=30.51
Last column: nearest neighbours and their distance in Å.
Sites, in units of the cell vectors:
Ac1 0.2385 0.2385 0.2385  3 F 2.90, 3 Ga 3.22
Ac2 0.7615 0.7615 0.7615  3 F 2.90, 3 Ga 3.22
Ga1 0.0000 0.0000 0.0000  6 Ac 3.22
F1 0.5000 0.5000 0.5000  6 Ac 2.90

Output
Distance to the lowest polymorph of the same formula: 0.000 eV per atom
Space group: R-3m, No. 166
Calculated volume: 113 Å³/cell
Final energy: -4.634 eV/atom
Size of the total moment: 0.00 Bohr magnetons per cell



## AcGa2F11 (PBE)

Data for crystalline AcGa2F11 at its relaxed geometry.

Unit cell a=8.6250 b=8.6250 c=8.6250 alpha=125.00 beta=105.43 gamma=99.23
Last column: nearest neighbours and their distance in Å.
Sites, in units of the cell vectors:
Ac1 0.2500 0.2500 0.0000  8 F 2.51
Ac2 0.7500 0.7500 0.0000  8 F 2.51
Ga1 0.2505 0.2492 0.4997  4 F 1.85
Ga2 0.2495 0.7492 0.9987  4 F 1.85
Ga3 0.7505 0.2508 0.0013  4 F 1.85
Ga4 0.7495 0.7508 0.5003  4 F 1.85
F1 0.0000 0.5000 0.5000  2 F 1.73
F2 0.0205 0.0603 0.3161  1 Ga 1.85
F3 0.0197 0.7033 0.9582  1 Ga 1.85
F4 0.1656 0.4994 0.6650  1 F 1.73
F5 0.2442 0.5603 0.0399  1 Ga 1.85
F6 0.2451 0.2033 0.6836  1 Ga 1.85
F7 0.2549 0.9385 0.9582  1 Ga 1.85
F8 0.2558 0.2957 0.3161  1 Ga 1.85
F9 0.3344 0.9994 0.3339  1 F 1.73
F10 0.4803 0.4385 0.6836  1 Ga 1.85
F11 0.4795 0.7957 0.0399  1 Ga 1.85
F12 0.5000 0.0000 0.5000  2 F 1.73
F13 0.5205 0.2043 0.9601  1 Ga 1.85
F14 0.5197 0.5615 0.3164  1 Ga 1.85
F15 0.6656 0.0006 0.6661  1 F 1.73
F16 0.7442 0.7043 0.6839  1 Ga 1.85
F17 0.7451 0.0615 0.0418  1 Ga 1.85
F18 0.7549 0.7967 0.3164  1 Ga 1.85
F19 0.7558 0.4397 0.9601  1 Ga 1.85
F20 0.8344 0.5006 0.3350  1 F 1.73
F21 0.9803 0.2967 0.0418  1 Ga 1.85
F22 0.9795 0.9397 0.6839  1 Ga 1.85

Output
Space group: Ibam, No. 72
Calculated volume: 465 Å³/cell
Final energy: -4.837 eV/atom
Size of the total moment: 0.00 Bohr magnetons per cell



## Ac2GaF (PBE)

Data for crystalline Ac2GaF at its relaxed geometry.

Unit cell a=3.6491 b=3.6491 c=7.9100 alpha=90.00 beta=90.00 gamma=90.00
Last column: nearest neighbours and their distance in Å.
Sites, in units of the cell vectors:
Ac1 0.0000 0.0000 0.2458  4 F 3.23, 4 Ga 3.27
Ac2 0.0000 0.0000 0.7542  4 F 3.23, 4 Ga 3.27
Ga1 0.5000 0.5000 0.5000  8 Ac 3.27, 4 Ga 3.65
F1 0.5000 0.5000 0.0000  8 Ac 3.23

Output
Distance to the lowest polymorph of the same formula: 0.159 eV per atom
Space group: P4/mmm, No. 123
Calculated volume: 105 Å³/cell
Final energy: -4.475 eV/atom
Size of the total moment: 0.00 Bohr magnetons per cell



## Ac3GaF (PBE)

Data for crystalline Ac3GaF at its relaxed geometry.

Unit cell a=5.3666 b=5.3666 c=5.3666 alpha=90.00 beta=90.00 gamma=90.00
Last column: nearest neighbours and their distance in Å.
Sites, in units of the cell vectors:
Ac1 0.0000 0.0000 0.5000  2 F 2.68
Ac2 0.0000 0.5000 0.0000  2 F 2.68
Ac3 0.5000 0.0000 0.0000  2 F 2.68
Ga1 0.5000 0.5000 0.5000  12 Ac 3.79
F1 0.0000 0.0000 0.0000  6 Ac 2.68

Output
Space group: Pm-3m, No. 221
Calculated volume: 155 Å³/cell
Final energy: -4.382 eV/atom
Size of the total moment: 0.00 Bohr magnetons per cell



## AcGa2F8 (PBE)

Data for crystalline AcGa2F8 at its relaxed geometry.

Unit cell a=7.0866 b=7.0866 c=4.0585 alpha=90.00 beta=90.00 gamma=120.00
Last column: nearest neighbours and their distance in Å.
Sites, in units of the cell vectors:
Ac1 0.0000 0.0000 0.0000  6 F 2.44
Ga1 0.3333 0.6667 0.2824  5 F 1.93-2.05
Ga2 0.6667 0.3333 0.7176  5 F 1.93-2.05
F1 0.1765 0.3530 0.2793  1 Ga 1.93
F2 0.1765 0.8235 0.2793  1 Ga 1.93
F3 0.3333 0.6667 0.7778  2 Ga 2.01-2.05
F4 0.3530 0.1765 0.7207  1 Ga 1.93
F5 0.6470 0.8235 0.2793  1 Ga 1.93
F6 0.6667 0.3333 0.2222  2 Ga 2.01-2.05
F7 0.8235 0.1765 0.7207  1 Ga 1.93
F8 0.8235 0.6470 0.7207  1 Ga 1.93

Output
Distance to the lowest polymorph of the same formula: 0.014 eV per atom
Space group: P-3m1, No. 164
Calculated volume: 177 Å³/cell
Final energy: -5.167 eV/atom
Size of the total moment: 0.00 Bohr magnetons per cell



## AcGa2F8 (PBE)

Data for crystalline AcGa2F8 at its relaxed geometry.

Unit cell a=6.8031 b=6.8031 c=5.2603 alpha=99.42 beta=99.42 gamma=46.22
Last column: nearest neighbours and their distance in Å.
Sites, in units of the cell vectors:
Ac1 0.0000 0.0000 0.0000  6 F 2.50-2.51
Ga1 0.3343 0.3343 0.4440  4 F 1.86-1.91
Ga2 0.6657 0.6657 0.5560  4 F 1.86-1.91
F1 0.1420 0.6578 0.2906  1 Ga 1.86
F2 0.1870 0.1870 0.2678  1 Ga 1.91
F3 0.3422 0.8580 0.7094  1 Ga 1.86
F4 0.4076 0.4076 0.7865  1 Ga 1.87
F5 0.5924 0.5924 0.2135  1 Ga 1.87
F6 0.6578 0.1420 0.2906  1 Ga 1.86
F7 0.8130 0.8130 0.7322  1 Ga 1.91
F8 0.8580 0.3422 0.7094  1 Ga 1.86

Output
Distance to the lowest polymorph of the same formula: 0.000 eV per atom
Space group: C2/m, No. 12
Calculated volume: 173 Å³/cell
Final energy: -5.182 eV/atom
Size of the total moment: 0.00 Bohr magnetons per cell



## Ac2GaF8 (PBE)

Data for crystalline Ac2GaF8 at its relaxed geometry.

Unit cell a=7.2466 b=7.2466 c=4.9176 alpha=90.00 beta=90.00 gamma=120.00
Last column: nearest neighbours and their distance in Å.
Sites, in units of the cell vectors:
Ac1 0.3333 0.6667 0.2542  5 F 2.32-2.47
Ac2 0.6667 0.3333 0.7458  5 F 2.32-2.47
Ga1 0.0000 0.0000 0.0000  6 F 2.17
F1 0.1487 0.2973 0.2269  1 Ga 2.17, 1 Ac 2.32
F2 0.1487 0.8513 0.2269  1 Ga 2.17, 1 Ac 2.32
F3 0.2973 0.1487 0.7731  1 Ga 2.17, 1 Ac 2.32
F4 0.3333 0.6667 0.7521  2 Ac 2.45-2.47
F5 0.6667 0.3333 0.2479  2 Ac 2.45-2.47
F6 0.7027 0.8513 0.2269  1 Ga 2.17, 1 Ac 2.32
F7 0.8513 0.1487 0.7731  1 Ga 2.17, 1 Ac 2.32
F8 0.8513 0.7027 0.7731  1 Ga 2.17, 1 Ac 2.32

Output
Space group: P-3m1, No. 164
Calculated volume: 224 Å³/cell
Final energy: -5.720 eV/atom
Size of the total moment: 0.90 Bohr magnetons per cell



## AcGaGeF (PBE)

Data for crystalline AcGaGeF at its relaxed geometry.

Unit cell a=4.5774 b=4.5774 c=7.9126 alpha=90.00 beta=90.00 gamma=90.00
Last column: nearest neighbours and their distance in Å.
Sites, in units of the cell vectors:
Ac1 0.2500 0.2500 0.1852  4 F 2.72
Ac2 0.7500 0.7500 0.8148  4 F 2.72
Ga1 0.2500 0.7500 0.5000  4 Ge 2.64
Ga2 0.7500 0.2500 0.5000  4 Ge 2.64
Ge1 0.2500 0.2500 0.6660  4 Ga 2.64
Ge2 0.7500 0.7500 0.3340  4 Ga 2.64
F1 0.2500 0.7500 0.0000  4 Ac 2.72
F2 0.7500 0.2500 0.0000  4 Ac 2.72

Output
Space group: P4/nmm, No. 129
Calculated volume: 166 Å³/cell
Final energy: -5.057 eV/atom
Size of the total moment: 0.00 Bohr magnetons per cell



no.,ΔE_f (raw) (eV/atom)
1,-2.62
2,-1.36
3,-2.64
4,-1.20
5,-0.94
6,-2.88
7,-2.90
8,-3.34
9,-1.65